1.
A plane-wave DFT calculation with PBE-GGA was carried out for a geometry-optimized Cr2TeRh structure.

Unit cell a=5.5930 b=5.5930 c=6.8314 alpha=65.84 beta=65.84 gamma=90.00
Closest atoms and distances in Å follow each position.
Atoms (fractional coordinates):
Cr1 0.1658 0.6250 0.2500  2 Rh 2.29, 2 Te 2.56
Rh1 0.5000 0.5000 0.0000  4 Cr 2.29
Rh2 0.2500 0.7500 0.5000  4 Cr 2.29
Cr2 0.3750 0.4158 0.7500  2 Rh 2.29, 2 Te 2.56
Cr3 0.8750 0.8342 0.7500  2 Rh 2.29, 2 Te 2.56
Cr4 0.5842 0.1250 0.2500  2 Rh 2.29, 2 Te 2.56
Te1 0.0000 0.0000 0.0000  4 Cr 2.56
Te2 0.7500 0.2500 0.5000  4 Cr 2.56

Results
Energy relative to the elements, uncorrected: 90 kJ/mol of atoms

2.
A plane-wave DFT calculation with PBE-GGA was carried out for a geometry-optimized TbCeHg structure.

Unit cell a=3.5571 b=5.2078 c=5.2078 alpha=120.00 beta=90.00 gamma=90.00
Closest atoms and distances in Å follow each position.
Atoms (fractional coordinates):
Tb1 0.6034 0.6667 0.3333  3 Hg 3.11, 3 Ce 3.35
Ce1 0.0184 0.0000 0.0000  3 Hg 3.27, 6 Tb 3.35-3.66, 2 Ce 3.56
Hg1 0.3782 0.3333 0.6667  3 Tb 3.11, 3 Ce 3.27

Results
Energy above the most stable polymorph in this dataset: 0.45 eV per formula unit
Energy relative to the elements: -0.096 eV/atom

3.
A plane-wave DFT calculation with PBE-GGA was carried out for a geometry-optimized NdSmRe4 structure.

Unit cell a=5.4923 b=5.4923 c=5.4923 alpha=60.00 beta=60.00 gamma=60.00
Closest atoms and distances in Å follow each position.
Atoms (fractional coordinates):
Sm1 0.0000 0.0000 0.0000  12 Re 3.22, 4 Nd 3.36
Nd1 0.2500 0.2500 0.2500  12 Re 3.22, 4 Sm 3.36
Re1 0.6250 0.6250 0.6250  6 Re 2.75
Re2 0.6250 0.6250 0.1249  6 Re 2.75
Re3 0.6250 0.1249 0.6250  6 Re 2.75
Re4 0.1249 0.6250 0.6250  6 Re 2.75

Results
Energy relative to the elements: 0.011 eV/atom

4.
A plane-wave DFT calculation with PBE-GGA was carried out for a geometry-optimized GaGeSe structure.

Unit cell a=3.5935 b=5.5372 c=7.6629 alpha=79.84 beta=90.00 gamma=108.93
Closest atoms and distances in Å follow each position.
Atoms (fractional coordinates):
Ga1 0.2143 0.4285 0.6482  1 Se 2.73, 2 Ga 2.88
Ga2 0.7857 0.5715 0.3518  1 Se 2.73, 2 Ga 2.88
Ge1 0.3808 0.7616 0.9599  2 Se 2.54, 1 Ge 2.68
Ge2 0.6192 0.2384 0.0401  2 Se 2.54, 1 Ge 2.68
Se1 0.9489 0.8978 0.7268  2 Ge 2.54, 1 Ga 2.73
Se2 0.0511 0.1022 0.2732  2 Ge 2.54, 1 Ga 2.73

Results
Energy relative to the elements, uncorrected: -3 kJ/mol of atoms

5.
A plane-wave DFT calculation with PBE-GGA was carried out for a geometry-optimized Pm2TeSe structure.

Unit cell a=3.7501 b=3.7501 c=7.5075 alpha=90.00 beta=90.00 gamma=90.00
Closest atoms and distances in Å follow each position.
Atoms (fractional coordinates):
Te1 0.5000 0.5000 0.5000  8 Pm 3.29
Pm1 0.0000 0.0000 0.7586  4 Se 3.21, 4 Te 3.29
Pm2 0.0000 0.0000 0.2414  4 Se 3.21, 4 Te 3.29
Se1 0.5000 0.5000 0.0000  8 Pm 3.21

Results
Energy above the most stable polymorph in this dataset: 0.88 eV per formula unit
Energy relative to the elements, uncorrected: -138 kJ/mol of atoms

6.
A plane-wave DFT calculation with PBE-GGA was carried out for a geometry-optimized CaPmSm3 structure.

Unit cell a=6.1604 b=6.1604 c=12.4334 alpha=75.66 beta=75.66 gamma=60.00
Closest atoms and distances in Å follow each position.
Atoms (fractional coordinates):
Ca1 0.6662 0.6662 0.0015  3 Ca 3.56, 6 Sm 3.69-3.74
Sm1 0.0889 0.4176 0.7403  2 Pm 3.51-3.54, 6 Sm 3.54-3.58, 2 Ca 3.70-3.74
Pm1 0.8336 0.8336 0.4991  6 Sm 3.51-3.54, 3 Pm 3.56
Ca2 0.3338 0.3338 0.9987  3 Ca 3.56, 6 Sm 3.70-3.73
Sm2 0.5824 0.2469 0.2597  2 Pm 3.51-3.54, 6 Sm 3.54-3.58, 2 Ca 3.69-3.73
Sm3 0.2469 0.9111 0.2597  2 Pm 3.51-3.54, 6 Sm 3.54-3.58, 2 Ca 3.69-3.73
Sm4 0.7531 0.0889 0.7403  2 Pm 3.51-3.54, 6 Sm 3.54-3.58, 2 Ca 3.70-3.74
Sm5 0.9111 0.5824 0.2597  2 Pm 3.51-3.54, 6 Sm 3.54-3.58, 2 Ca 3.69-3.73
Sm6 0.4176 0.7531 0.7403  2 Pm 3.51-3.54, 6 Sm 3.54-3.58, 2 Ca 3.70-3.74
Pm2 0.1664 0.1664 0.5009  6 Sm 3.51-3.54, 3 Pm 3.56

Results
Energy above the most stable polymorph in this dataset: 0.94 eV per formula unit
Energy relative to the elements: 0.368 eV/atom

7.
A plane-wave DFT calculation with PBE-GGA was carried out for a geometry-optimized ScRhO3 structure.

Unit cell a=3.1647 b=5.3169 c=4.1159 alpha=67.23 beta=90.00 gamma=72.71
Closest atoms and distances in Å follow each position.
Atoms (fractional coordinates):
O1 0.4238 0.3593 0.8322  2 Rh 2.08, 2 Sc 2.12
Rh1 0.0687 0.0691 0.9774  6 O 2.08-2.10
O2 0.7163 0.7736 0.1251  2 Rh 2.09, 2 Sc 2.13
Sc1 0.3699 0.4667 0.2785  6 O 2.12-2.13
O3 0.0220 0.1619 0.4309  2 Rh 2.10, 2 Sc 2.12

Results
Energy relative to the elements, uncorrected: -194 kJ/mol of atoms

8.
A plane-wave DFT calculation with PBE-GGA was carried out for a geometry-optimized LiDy5Ag4 structure.

Unit cell a=3.6286 b=3.6286 c=18.3613 alpha=90.00 beta=90.00 gamma=90.00
Closest atoms and distances in Å follow each position.
Atoms (fractional coordinates):
Li1 0.0000 0.0000 0.0000  8 Dy 3.19
Ag1 0.0000 0.0000 0.1989  8 Dy 3.11-3.17
Dy1 0.5000 0.5000 0.6993  8 Ag 3.15-3.17
Dy2 0.5000 0.5000 0.3007  8 Ag 3.15-3.17
Ag2 0.0000 0.0000 0.5995  8 Dy 3.15
Dy3 0.5000 0.5000 0.5000  8 Ag 3.15
Ag3 0.0000 0.0000 0.4005  8 Dy 3.15
Ag4 0.0000 0.0000 0.8011  8 Dy 3.11-3.17
Dy4 0.5000 0.5000 0.8966  4 Ag 3.11, 4 Li 3.19
Dy5 0.5000 0.5000 0.1034  4 Ag 3.11, 4 Li 3.19

Results
Energy relative to the elements: -0.234 eV/atom

9.
A plane-wave DFT calculation with PBE-GGA was carried out for a geometry-optimized La2HoCoPb structure.

Unit cell a=5.3806 b=5.1846 c=5.1846 alpha=90.00 beta=90.00 gamma=90.00
Closest atoms and distances in Å follow each position.
Atoms (fractional coordinates):
La1 0.0000 0.0000 0.5000  2 Co 2.59
La2 0.0000 0.5000 0.0000  2 Co 2.59
Co1 0.0000 0.0000 0.0000  4 La 2.59, 2 Ho 2.69
Ho1 0.5000 0.0000 0.0000  2 Co 2.69
Pb1 0.5000 0.5000 0.5000  4 Ho 3.67, 8 La 3.74

Results
Energy relative to the elements: -0.370 eV/atom

10.
A plane-wave DFT calculation with PBE-GGA was carried out for a geometry-optimized LaDyLuPu structure.

Unit cell a=5.6163 b=5.6163 c=5.6163 alpha=60.00 beta=60.00 gamma=60.00
Closest atoms and distances in Å follow each position.
Atoms (fractional coordinates):
Lu1 0.0000 0.0000 0.0000  4 La 3.44, 4 Dy 3.44
La1 0.2500 0.2500 0.2500  4 Pu 3.44, 4 Lu 3.44
Pu1 0.5000 0.5000 0.5000  4 Dy 3.44, 4 La 3.44
Dy1 0.7500 0.7500 0.7500  4 Pu 3.44, 4 Lu 3.44

Results
Energy relative to the elements: 0.197 eV/atom

11.
A plane-wave DFT calculation with PBE-GGA was carried out for a geometry-optimized CaAl2As structure.

Unit cell a=8.1375 b=8.1375 c=8.1375 alpha=27.02 beta=27.02 gamma=27.02
Closest atoms and distances in Å follow each position.
Atoms (fractional coordinates):
Al1 0.9792 0.9792 0.9792  3 As 2.64
As1 0.2500 0.2500 0.2500  6 Al 2.64
Ca1 0.7500 0.7500 0.7500  6 Al 3.29
Al2 0.5208 0.5208 0.5208  3 As 2.64

Results
Energy above the most stable polymorph in this dataset: 0.88 eV per formula unit
Energy relative to the elements: -0.102 eV/atom

12.
A plane-wave DFT calculation with PBE-GGA was carried out for a geometry-optimized TiMnVN structure.

Unit cell a=3.8058 b=2.9315 c=8.6492 alpha=90.00 beta=90.00 gamma=90.00
Closest atoms and distances in Å follow each position.
Atoms (fractional coordinates):
N1 0.0000 0.5000 0.9084  2 Mn 1.90, 2 V 1.99, 2 Ti 2.06
N2 0.5000 0.0000 0.4084  2 Mn 1.90, 2 V 1.99, 2 Ti 2.06
Mn1 0.0000 0.0000 0.4103  2 N 1.90
Mn2 0.5000 0.5000 0.9103  2 N 1.90
V1 0.0000 0.0000 0.0634  2 N 1.99
V2 0.5000 0.5000 0.5634  2 N 1.99
Ti1 0.5000 0.5000 0.2410  2 N 2.06
Ti2 0.0000 0.0000 0.7410  2 N 2.06

Results
Energy above the most stable polymorph in this dataset: 1.37 eV per formula unit
Energy relative to the elements, uncorrected: -56 kJ/mol of atoms

Copy entry 1 word for word.
A plane-wave DFT calculation with PBE-GGA was carried out for a geometry-optimized Cr2TeRh structure.

Unit cell a=5.5930 b=5.5930 c=6.8314 alpha=65.84 beta=65.84 gamma=90.00
Closest atoms and distances in Å follow each position.
Atoms (fractional coordinates):
Cr1 0.1658 0.6250 0.2500  2 Rh 2.29, 2 Te 2.56
Rh1 0.5000 0.5000 0.0000  4 Cr 2.29
Rh2 0.2500 0.7500 0.5000  4 Cr 2.29
Cr2 0.3750 0.4158 0.7500  2 Rh 2.29, 2 Te 2.56
Cr3 0.8750 0.8342 0.7500  2 Rh 2.29, 2 Te 2.56
Cr4 0.5842 0.1250 0.2500  2 Rh 2.29, 2 Te 2.56
Te1 0.0000 0.0000 0.0000  4 Cr 2.56
Te2 0.7500 0.2500 0.5000  4 Cr 2.56

Results
Energy relative to the elements, uncorrected: 90 kJ/mol of atoms